## YV3In (PBE)

Data for YV3In after structural relaxation.

The space group is Pm-3m (No. 221) and the conventional cell measures 4.684, 4.684 and 4.684 Å, with angles of 90.00, 90.00 and 90.00 degrees. The inequivalent atoms are Y at (0.000, 0.000, 0.000), V at (0.000, 0.000, 0.500) and In at (0.500, 0.500, 0.500).

The value obtained for the formation energy from the elements is 1.82 eV per atom. The value obtained for the magnetization is 0.01 μB per formula unit. The electronic total energy comes out at -0.404 Ry per atom.

---

## YV3In (PBE)

Data for YV3In after structural relaxation.

The space group is Pm-3m (No. 221) and the conventional cell measures 5.049, 5.049 and 5.049 Å, with angles of 90.00, 90.00 and 90.00 degrees. The inequivalent atoms are Y at (0.000, 0.000, 0.000), V at (0.000, 0.500, 0.500) and In at (0.500, 0.500, 0.500).

The value obtained for the formation energy from the elements is 1.30 eV per atom. The value obtained for the magnetization is 9.68 μB per formula unit. The electronic total energy comes out at -0.442 Ry per atom.

---

Number 1: ΔE to the lowest computed polymorph 523 meV per atom. Number 2: ΔE to the lowest computed polymorph 0 meV per atom.